This record from Alexandria describes Pm3NdSb4 after structural relaxation. The functional is PBE.

Lattice parameters (Å, degrees): 4.5031 7.7938 7.7938 109.47 90.00 90.00
Closest atoms and distances in Å follow each position.
Positions (direct):
Pm 0.5000 0.5000 0.5000  6 Sb 3.17
Pm 0.0000 0.0000 0.5000  6 Sb 3.18
Pm 0.0000 0.5000 0.0000  6 Sb 3.18
Sb 0.5000 0.2506 0.7494  5 Pm 3.17-3.18, 1 Nd 3.19
Sb 0.0000 0.7487 0.7487  4 Pm 3.17-3.18, 2 Nd 3.19
Sb 0.5000 0.7494 0.2506  5 Pm 3.17-3.18, 1 Nd 3.19
Sb 0.0000 0.2513 0.2513  4 Pm 3.17-3.18, 2 Nd 3.19
Nd 0.5000 0.0000 0.0000  6 Sb 3.19

Summary:
M_tot = 0.00 μB/cell
DOS(E_F) = 0.13 states/eV/atom
E_form (uncorrected) = -9.5 eV/f.u.
Offset from the most stable computed form = 5 meV/atom

***

This record from Alexandria describes Pm2Nd2Sb3 after structural relaxation. The functional is PBE.

Lattice parameters (Å, degrees): 4.4799 7.6131 7.6320 99.13 107.07 90.00
Closest atoms and distances in Å follow each position.
Positions (direct):
Sb 0.7449 0.2529 0.4897  3 Pm 3.11-3.13, 3 Nd 3.14-3.18
Sb 0.2551 0.7471 0.5103  3 Pm 3.11-3.13, 3 Nd 3.14-3.18
Sb 0.0000 0.0000 0.0000  2 Pm 3.13, 4 Nd 3.14
Pm 0.8770 0.6213 0.7540  4 Sb 3.11-3.13
Pm 0.1230 0.3787 0.2460  4 Sb 3.11-3.13
Nd 0.6241 0.8701 0.2483  5 Sb 3.14-3.18
Nd 0.3759 0.1299 0.7517  5 Sb 3.14-3.18

Summary:
M_tot = 0.00 μB/cell
DOS(E_F) = 0.61 states/eV/atom
E_form (uncorrected) = -6.4 eV/f.u.
Offset from the most stable computed form = 147 meV/atom

***

This record from Alexandria describes PmNd2Sb after structural relaxation. The functional is PBE.

Lattice parameters (Å, degrees): 4.9317 4.9146 4.9146 90.00 90.00 90.00
Closest atoms and distances in Å follow each position.
Positions (direct):
Nd 0.0000 0.5000 0.0000  4 Nd 3.48, 4 Pm 3.48, 4 Sb 3.48
Nd 0.0000 0.0000 0.5000  4 Nd 3.48, 4 Pm 3.48, 4 Sb 3.48
Pm 0.5000 0.5000 0.5000  4 Sb 3.48, 8 Nd 3.48
Sb 0.5000 0.0000 0.0000  4 Pm 3.48, 8 Nd 3.48

Summary:
M_tot = 0.00 μB/cell
DOS(E_F) = 1.01 states/eV/atom
E_form (uncorrected) = -2.2 eV/f.u.
Offset from the most stable computed form = 20 meV/atom

***

This record from Alexandria describes Pm5NdSb4 after structural relaxation. The functional is PBE.

Lattice parameters (Å, degrees): 4.4199 8.7089 9.8460 105.14 102.97 90.00
Closest atoms and distances in Å follow each position.
Positions (direct):
Pm 0.1628 0.8311 0.3255  4 Sb 3.09-3.14
Pm 0.8253 0.6529 0.6506  3 Sb 3.10-3.12
Pm 0.1747 0.3471 0.3494  3 Sb 3.10-3.12
Pm 0.5000 0.5000 0.0000  4 Sb 3.08
Pm 0.8372 0.1689 0.6745  4 Sb 3.09-3.14
Sb 0.0070 0.2580 0.0141  4 Pm 3.08-3.14, 2 Nd 3.13
Sb 0.9930 0.7420 0.9859  4 Pm 3.08-3.14, 2 Nd 3.13
Sb 0.3295 0.9088 0.6591  5 Pm 3.09-3.14, 1 Nd 3.15
Sb 0.6705 0.0912 0.3409  5 Pm 3.09-3.14, 1 Nd 3.15
Nd 0.5000 0.0000 0.0000  6 Sb 3.13-3.15

Summary:
M_tot = 0.00 μB/cell
DOS(E_F) = 0.71 states/eV/atom
E_form (uncorrected) = -7.9 eV/f.u.

***

This record from Alexandria describes Pm3NdSb3 after structural relaxation. The functional is PBE.

Lattice parameters (Å, degrees): 9.2786 9.2786 8.2551 55.81 55.81 60.00
Closest atoms and distances in Å follow each position.
Positions (direct):
Nd 0.3335 0.3335 0.9995  6 Sb 3.23-3.30
Nd 0.6665 0.6665 0.0005  6 Sb 3.23-3.30
Sb 0.2986 0.5370 0.2393  5 Pm 3.14-3.31, 2 Nd 3.23-3.30
Sb 0.5370 0.9250 0.2393  5 Pm 3.14-3.31, 2 Nd 3.23-3.30
Sb 0.4630 0.0750 0.7607  5 Pm 3.14-3.31, 2 Nd 3.23-3.30
Sb 0.9250 0.2986 0.2393  5 Pm 3.14-3.31, 2 Nd 3.23-3.30
Sb 0.0750 0.7014 0.7607  5 Pm 3.14-3.31, 2 Nd 3.23-3.30
Sb 0.7014 0.4630 0.7607  5 Pm 3.14-3.31, 2 Nd 3.23-3.30
Pm 0.0915 0.3522 0.7394  5 Sb 3.14-3.31
Pm 0.6478 0.1831 0.2606  5 Sb 3.14-3.31
Pm 0.8169 0.0915 0.7394  5 Sb 3.14-3.31
Pm 0.1831 0.9085 0.2606  5 Sb 3.14-3.31
Pm 0.3522 0.8169 0.7394  5 Sb 3.14-3.31
Pm 0.9085 0.6478 0.2606  5 Sb 3.14-3.31

Summary:
M_tot = 0.00 μB/cell
DOS(E_F) = 0.58 states/eV/atom
E_form (uncorrected) = -6.7 eV/f.u.
Offset from the most stable computed form = 108 meV/atom

***

This record from Alexandria describes Pm2Nd5Sb5 after structural relaxation. The functional is PBE.

Lattice parameters (Å, degrees): 4.4616 7.6484 13.0441 107.45 90.00 106.96
Closest atoms and distances in Å follow each position.
Positions (direct):
Nd 0.2714 0.5429 0.6532  5 Sb 3.05-3.33
Nd 0.5000 0.0000 0.5000  4 Sb 3.15
Nd 0.3406 0.6813 0.9583  5 Sb 3.15-3.40
Nd 0.6594 0.3187 0.0417  5 Sb 3.15-3.40
Nd 0.7286 0.4571 0.3468  5 Sb 3.05-3.33
Sb 0.8795 0.7591 0.5694  1 Pm 3.03, 5 Nd 3.05-3.15
Sb 0.1205 0.2409 0.4306  1 Pm 3.03, 5 Nd 3.05-3.15
Sb 0.6920 0.3841 0.7952  2 Pm 3.13, 5 Nd 3.33-3.40
Sb 0.3080 0.6159 0.2048  2 Pm 3.13, 5 Nd 3.33-3.40
Sb 0.0000 0.0000 0.0000  2 Pm 3.04, 4 Nd 3.15
Pm 0.9610 0.9219 0.2160  4 Sb 3.03-3.13
Pm 0.0390 0.0781 0.7840  4 Sb 3.03-3.13

Summary:
M_tot = 0.00 μB/cell
DOS(E_F) = 0.82 states/eV/atom
E_form (uncorrected) = -11.0 eV/f.u.

***

This record from Alexandria describes Pm3Nd2Sb3 after structural relaxation. The functional is PBE.

Lattice parameters (Å, degrees): 6.4927 9.3037 9.3037 120.00 90.00 90.00
Closest atoms and distances in Å follow each position.
Positions (direct):
Sb 0.7500 0.6146 0.0000  5 Pm 3.15-3.48, 4 Nd 3.31
Sb 0.7500 0.3854 0.3854  5 Pm 3.15-3.48, 4 Nd 3.31
Sb 0.2500 0.3854 0.0000  5 Pm 3.15-3.48, 4 Nd 3.31
Sb 0.7500 0.0000 0.6146  5 Pm 3.15-3.48, 4 Nd 3.31
Sb 0.2500 0.0000 0.3854  5 Pm 3.15-3.48, 4 Nd 3.31
Sb 0.2500 0.6146 0.6146  5 Pm 3.15-3.48, 4 Nd 3.31
Pm 0.7500 0.7505 0.7505  5 Sb 3.15-3.48
Pm 0.2500 0.7505 0.0000  5 Sb 3.15-3.48
Pm 0.7500 0.2495 0.0000  5 Sb 3.15-3.48
Pm 0.7500 0.0000 0.2495  5 Sb 3.15-3.48
Pm 0.2500 0.2495 0.2495  5 Sb 3.15-3.48
Pm 0.2500 0.0000 0.7505  5 Sb 3.15-3.48
Nd 0.5000 0.6667 0.3333  2 Nd 3.25, 6 Sb 3.31
Nd 0.0000 0.6667 0.3333  2 Nd 3.25, 6 Sb 3.31
Nd 0.0000 0.3333 0.6667  2 Nd 3.25, 6 Sb 3.31
Nd 0.5000 0.3333 0.6667  2 Nd 3.25, 6 Sb 3.31

Summary:
M_tot = 1.14 μB/cell
DOS(E_F) = 1.10 states/eV/atom
E_form (uncorrected) = -7.7 eV/f.u.

***

This record from Alexandria describes PmNd4Sb4 after structural relaxation. The functional is PBE.

Lattice parameters (Å, degrees): 8.1322 8.1322 7.6084 122.31 122.31 90.00
Closest atoms and distances in Å follow each position.
Positions (direct):
Sb 0.0906 0.0906 0.7093  4 Nd 3.05-3.27, 1 Pm 3.08
Sb 0.6187 0.6187 0.7093  4 Nd 3.05-3.27, 1 Pm 3.08
Sb 0.3813 0.9094 0.2907  4 Nd 3.05-3.27, 1 Pm 3.08
Sb 0.9094 0.3813 0.2907  4 Nd 3.05-3.27, 1 Pm 3.08
Nd 0.6716 0.6716 0.3433  4 Sb 3.05-3.27, 1 Pm 3.27
Nd 0.0000 0.5000 0.0000  4 Sb 3.22
Nd 0.5000 0.0000 0.0000  4 Sb 3.22
Nd 0.3284 0.3284 0.6567  4 Sb 3.05-3.27, 1 Pm 3.27
Pm 0.0000 0.0000 0.0000  4 Sb 3.08, 2 Nd 3.27

Summary:
M_tot = 0.00 μB/cell
DOS(E_F) = 0.76 states/eV/atom
E_form (uncorrected) = -5.8 eV/f.u.

***

This record from Alexandria describes Pm8NdSb6 after structural relaxation. The functional is PBE.

Lattice parameters (Å, degrees): 8.2259 8.2259 9.7366 65.01 65.01 60.00
Closest atoms and distances in Å follow each position.
Positions (direct):
Pm 0.5462 0.2107 0.3650  3 Sb 3.06-3.07
Pm 0.8781 0.5462 0.3650  3 Sb 3.06-3.07
Pm 0.4538 0.7893 0.6350  3 Sb 3.06-3.07
Pm 0.2107 0.8781 0.3650  3 Sb 3.06-3.07
Pm 0.3333 0.3333 0.0000  6 Sb 3.24
Pm 0.7893 0.1219 0.6350  3 Sb 3.06-3.07
Pm 0.6667 0.6667 0.0000  6 Sb 3.24
Pm 0.1219 0.4538 0.6350  3 Sb 3.06-3.07
Sb 0.7332 0.4027 0.7964  5 Pm 3.06-3.24, 1 Nd 3.25
Sb 0.0677 0.7332 0.7964  5 Pm 3.06-3.24, 1 Nd 3.25
Sb 0.5973 0.9323 0.2036  5 Pm 3.06-3.24, 1 Nd 3.25
Sb 0.4027 0.0677 0.7964  5 Pm 3.06-3.24, 1 Nd 3.25
Sb 0.9323 0.2668 0.2036  5 Pm 3.06-3.24, 1 Nd 3.25
Sb 0.2668 0.5973 0.2036  5 Pm 3.06-3.24, 1 Nd 3.25
Nd 0.0000 0.0000 0.0000  6 Sb 3.25

Summary:
M_tot = 0.00 μB/cell
DOS(E_F) = 1.08 states/eV/atom
E_form (uncorrected) = -12.4 eV/f.u.

***

This record from Alexandria describes Pm12NdSb6 after structural relaxation. The functional is PBE.

Lattice parameters (Å, degrees): 9.0294 9.0294 9.0294 103.58 103.58 103.58
Closest atoms and distances in Å follow each position.
Positions (direct):
Sb 0.3694 0.6648 0.8665  7 Pm 3.12-3.37
Sb 0.3352 0.1335 0.6306  7 Pm 3.12-3.37
Sb 0.8665 0.3694 0.6648  7 Pm 3.12-3.37
Sb 0.6306 0.3352 0.1335  7 Pm 3.12-3.37
Sb 0.6648 0.8665 0.3694  7 Pm 3.12-3.37
Sb 0.1335 0.6306 0.3352  7 Pm 3.12-3.37
Pm 0.4714 0.8247 0.6116  4 Sb 3.14-3.29
Pm 0.1753 0.3884 0.5286  4 Sb 3.14-3.29
Pm 0.3302 0.0354 0.9386  1 Nd 3.12, 3 Sb 3.12-3.37, 1 Pm 3.27
Pm 0.3884 0.5286 0.1753  4 Sb 3.14-3.29
Pm 0.8247 0.6116 0.4714  4 Sb 3.14-3.29
Pm 0.0354 0.9386 0.3302  1 Nd 3.12, 3 Sb 3.12-3.37, 1 Pm 3.27
Pm 0.5286 0.1753 0.3884  4 Sb 3.14-3.29
Pm 0.6698 0.9646 0.0614  1 Nd 3.12, 3 Sb 3.12-3.37, 1 Pm 3.27
Pm 0.6116 0.4714 0.8247  4 Sb 3.14-3.29
Pm 0.9646 0.0614 0.6698  1 Nd 3.12, 3 Sb 3.12-3.37, 1 Pm 3.27
Pm 0.0614 0.6698 0.9646  1 Nd 3.12, 3 Sb 3.12-3.37, 1 Pm 3.27
Pm 0.9386 0.3302 0.0354  1 Nd 3.12, 3 Sb 3.12-3.37, 1 Pm 3.27
Nd 0.0000 0.0000 0.0000  6 Pm 3.12

Summary:
M_tot = 0.00 μB/cell
DOS(E_F) = 0.81 states/eV/atom
E_form (uncorrected) = -9.4 eV/f.u.